First-principles (meta-GGA SCAN) data for a crystal of NiHgTe2N relaxed with PBEsol, as listed in Alexandria.

a = 5.6167 Å, b = 5.6167 Å, c = 3.8896 Å
α = 90.00°, β = 90.00°, γ = 90.00°
Positions (direct):
1 Ni 0.0000 0.0000 0.0000
2 Hg 0.5000 0.5000 0.5000
3 Te 0.0000 0.5000 0.5000
4 Te 0.5000 0.0000 0.5000
5 N 0.5000 0.5000 0.0000


First-principles (meta-GGA SCAN) data for a crystal of CsCuF4 relaxed with PBEsol, as listed in Alexandria.

a = 7.4139 Å, b = 7.4139 Å, c = 7.4139 Å
α = 130.57°, β = 130.57°, γ = 72.50°
Positions (direct):
1 Cs 0.2500 0.2500 0.0000
2 Cs 0.7500 0.7500 0.0000
3 Cu 0.0000 0.5000 0.5000
4 Cu 0.5000 0.0000 0.5000
5 F 0.0388 0.5388 0.7848
6 F 0.2460 0.7460 0.7848
7 F 0.2540 0.0388 0.5000
8 F 0.4612 0.2460 0.5000
9 F 0.5388 0.7540 0.5000
10 F 0.7460 0.9612 0.5000
11 F 0.7540 0.2540 0.2152
12 F 0.9612 0.4612 0.2152


It is found that the energy relative to the elements, uncorrected values, taken in the order of the records, are 739; -1214 kJ/mol of formula units.